HoBeCuC: optimized geometry, PBE.

It has space group P4/nmm (No. 129, origin choice 2), with a = 3.616 Å, b = 3.616 Å, c = 8.297 Å, α = 90.00°, β = 90.00° and γ = 90.00°. The distinct sites, in fractional coordinates, are Ho at (0.250, 0.250, 0.150), Be at (0.250, 0.250, 0.662), Cu at (0.250, 0.750, 0.500) and C at (0.250, 0.250, 0.858).

The formation energy comes out at -0.173 eV per atom. As for the crystal system: tetragonal.

Be2CuIrC: optimized geometry, PBE.

It has space group P4/mmm (No. 123), with a = 4.115 Å, b = 4.115 Å, c = 4.717 Å, α = 90.00°, β = 90.00° and γ = 90.00°. The distinct sites, in fractional coordinates, are Be at (0.000, 0.500, 0.000), Cu at (0.000, 0.000, 0.500), Ir at (0.000, 0.000, 0.000) and C at (0.500, 0.500, 0.500).

The formation energy comes out at 1.868 eV per atom. As for the crystal system: tetragonal.

K2BeCuC: optimized geometry, PBE.

It has space group P4/mmm (No. 123), with a = 6.035 Å, b = 6.035 Å, c = 3.266 Å, α = 90.00°, β = 90.00° and γ = 90.00°. The distinct sites, in fractional coordinates, are K at (0.000, 0.500, 0.000), Be at (0.000, 0.000, 0.500), Cu at (0.500, 0.500, 0.500) and C at (0.000, 0.000, 0.000).

The formation energy comes out at 0.629 eV per atom. As for the crystal system: tetragonal.

KBe2CuC: optimized geometry, PBE.

It has space group P4/mmm (No. 123), with a = 4.324 Å, b = 4.324 Å, c = 3.914 Å, α = 90.00°, β = 90.00° and γ = 90.00°. The distinct sites, in fractional coordinates, are K at (0.000, 0.000, 0.000), Be at (0.000, 0.500, 0.500), Cu at (0.500, 0.500, 0.500) and C at (0.500, 0.500, 0.000).

The formation energy comes out at 1.279 eV per atom. As for the crystal system: tetragonal.

BeNbCuC2: optimized geometry, PBE.

It has space group P4/mmm (No. 123), with a = 4.078 Å, b = 4.078 Å, c = 4.994 Å, α = 90.00°, β = 90.00° and γ = 90.00°. The distinct sites, in fractional coordinates, are Be at (0.000, 0.000, 0.000), Nb at (0.500, 0.500, 0.500), Cu at (0.500, 0.500, 0.000) and C at (0.000, 0.500, 0.500).

The formation energy comes out at 2.012 eV per atom. As for the crystal system: tetragonal.

BeCuSb2C: optimized geometry, PBE.

It has space group P4/mmm (No. 123), with a = 4.944 Å, b = 4.944 Å, c = 3.973 Å, α = 90.00°, β = 90.00° and γ = 90.00°. The distinct sites, in fractional coordinates, are Be at (0.000, 0.000, 0.000), Cu at (0.000, 0.000, 0.500), Sb at (0.000, 0.500, 0.500) and C at (0.500, 0.500, 0.000).

Its formation energy from raw total energies is 1.627 eV/atom. As for the crystal system: tetragonal.

Sc2BeCuC: optimized geometry, PBE.

It has space group P4/mmm (No. 123), with a = 4.564 Å, b = 4.564 Å, c = 3.437 Å, α = 90.00°, β = 90.00° and γ = 90.00°. The distinct sites, in fractional coordinates, are Sc at (0.000, 0.500, 0.000), Be at (0.000, 0.000, 0.500), Cu at (0.500, 0.500, 0.500) and C at (0.000, 0.000, 0.000).

The formation energy comes out at -0.285 eV per atom. As for the crystal system: tetragonal.

BeCu2CSe: optimized geometry, PBE.

It has space group P4/mmm (No. 123), with a = 4.624 Å, b = 4.624 Å, c = 3.894 Å, α = 90.00°, β = 90.00° and γ = 90.00°. The distinct sites, in fractional coordinates, are Be at (0.000, 0.000, 0.000), Cu at (0.000, 0.500, 0.500), C at (0.500, 0.500, 0.000) and Se at (0.500, 0.500, 0.500).

Its formation energy from raw total energies is 1.743 eV/atom. As for the crystal system: tetragonal.